Material: Cs12Hg3Se5
Method: DFT, PBE
State: optimized geometry

Unit cell a=19.1533 b=19.1533 c=19.1533 alpha=109.47 beta=109.47 gamma=109.47
With the nearest neighbours (Å) after each atom.
Fractional positions:
Cs: 0.4048 0.2967 0.3218  2 Se 3.36-3.52
Cs: 0.2967 0.8919 0.9749  2 Se 3.36-3.52
Cs: 0.2967 0.4048 0.8218  2 Se 3.36-3.52
Cs: 0.0830 0.1782 0.4749  2 Se 3.36-3.52
Cs: 0.5830 0.9749 0.6782  2 Se 3.36-3.52
Cs: 0.5952 0.8919 0.4170  2 Se 3.36-3.52
Cs: 0.4048 0.1081 0.5830  2 Se 3.36-3.52
Cs: 0.5251 0.2033 0.1081  2 Se 3.36-3.52
Cs: 0.3919 0.4170 0.0952  2 Se 3.36-3.52
Cs: 0.5952 0.7033 0.6782  2 Se 3.36-3.52
Cs: 0.8218 0.9170 0.0251  2 Se 3.36-3.52
Cs: 0.5830 0.6081 0.4048  2 Se 3.36-3.52
Cs: 0.3919 0.9749 0.7967  2 Se 3.36-3.52
Cs: 0.7967 0.3218 0.9048  2 Se 3.36-3.52
Cs: 0.2033 0.6782 0.0952  2 Se 3.36-3.52
Cs: 0.0952 0.1782 0.2033  2 Se 3.36-3.52
Cs: 0.9048 0.8218 0.7967  2 Se 3.36-3.52
Cs: 0.0952 0.9170 0.3919  2 Se 3.36-3.52
Cs: 0.8218 0.9048 0.2967  2 Se 3.36-3.52
Cs: 0.9170 0.8218 0.5251  2 Se 3.36-3.52
Cs: 0.7033 0.5952 0.1782  2 Se 3.36-3.52
Cs: 0.1782 0.0952 0.7033  2 Se 3.36-3.52
Cs: 0.8919 0.5952 0.9170  2 Se 3.36-3.52
Cs: 0.4749 0.7967 0.8919  2 Se 3.36-3.52
Cs: 0.1081 0.7033 0.5251  2 Se 3.36-3.52
Cs: 0.1081 0.4048 0.0830  2 Se 3.36-3.52
Cs: 0.0830 0.9048 0.1081  2 Se 3.36-3.52
Cs: 0.4170 0.0251 0.3218  2 Se 3.36-3.52
Cs: 0.9170 0.0952 0.8919  2 Se 3.36-3.52
Cs: 0.7033 0.1081 0.0251  2 Se 3.36-3.52
Cs: 0.4749 0.6782 0.0830  2 Se 3.36-3.52
Cs: 0.2033 0.5251 0.6081  2 Se 3.36-3.52
Cs: 0.6782 0.4749 0.5830  2 Se 3.36-3.52
Cs: 0.5251 0.3218 0.9170  2 Se 3.36-3.52
Cs: 0.9048 0.0830 0.6081  2 Se 3.36-3.52
Cs: 0.1782 0.0830 0.9749  2 Se 3.36-3.52
Cs: 0.3218 0.5251 0.4170  2 Se 3.36-3.52
Cs: 0.9749 0.5830 0.1782  2 Se 3.36-3.52
Cs: 0.9749 0.3919 0.2967  2 Se 3.36-3.52
Cs: 0.6782 0.2033 0.5952  2 Se 3.36-3.52
Cs: 0.0251 0.4170 0.8218  2 Se 3.36-3.52
Cs: 0.7967 0.4749 0.3919  2 Se 3.36-3.52
Cs: 0.8919 0.2967 0.4749  2 Se 3.36-3.52
Cs: 0.3218 0.7967 0.4048  2 Se 3.36-3.52
Cs: 0.4170 0.3919 0.5952  2 Se 3.36-3.52
Cs: 0.6081 0.0251 0.2033  2 Se 3.36-3.52
Cs: 0.0251 0.6081 0.7033  2 Se 3.36-3.52
Cs: 0.6081 0.5830 0.9048  2 Se 3.36-3.52
Se: 0.5000 0.0000 0.0000  6 Cs 3.52
Se: 0.3750 0.1250 0.7500  4 Cs 3.36
Se: 0.5000 0.5000 0.5000  6 Cs 3.52
Se: 0.7500 0.6250 0.3750  4 Cs 3.36
Se: 0.2500 0.3750 0.6250  4 Cs 3.36
Se: 0.1250 0.7500 0.3750  4 Cs 3.36
Se: 0.0000 0.5000 0.5000  6 Cs 3.52
Se: 0.0000 0.5000 0.0000  6 Cs 3.52
Se: 0.5000 0.5000 0.0000  6 Cs 3.52
Se: 0.5000 0.0000 0.5000  6 Cs 3.52
Se: 0.8750 0.6250 0.7500  4 Cs 3.36
Se: 0.6250 0.7500 0.8750  4 Cs 3.36
Se: 0.0000 0.0000 0.5000  6 Cs 3.52
Se: 0.3750 0.2500 0.1250  4 Cs 3.36
Se: 0.1250 0.3750 0.2500  4 Cs 3.36
Se: 0.8750 0.2500 0.6250  4 Cs 3.36
Se: 0.6250 0.8750 0.2500  4 Cs 3.36
Se: 0.2500 0.8750 0.1250  4 Cs 3.36
Se: 0.7500 0.1250 0.8750  4 Cs 3.36
Se: 0.0000 0.0000 0.0000  6 Cs 3.52
Hg: 0.7500 0.8750 0.6250  8 Cs 4.29-4.46
Hg: 0.3750 0.7500 0.6250  8 Cs 4.29-4.46
Hg: 0.8750 0.7500 0.1250  8 Cs 4.29-4.46
Hg: 0.3750 0.6250 0.2500  8 Cs 4.29-4.46
Hg: 0.2500 0.1250 0.3750  8 Cs 4.29-4.46
Hg: 0.6250 0.3750 0.7500  8 Cs 4.29-4.46
Hg: 0.1250 0.8750 0.7500  8 Cs 4.29-4.46
Hg: 0.1250 0.2500 0.8750  8 Cs 4.29-4.46
Hg: 0.8750 0.1250 0.2500  8 Cs 4.29-4.46
Hg: 0.6250 0.2500 0.3750  8 Cs 4.29-4.46
Hg: 0.2500 0.6250 0.8750  8 Cs 4.29-4.46
Hg: 0.7500 0.3750 0.1250  8 Cs 4.29-4.46

Properties
- formation energy without anion corrections (eV per atom) = -0.68
- magnetic moment (μB/f.u.) = 1.25
- density (g cm⁻³) = 3.2
- space group = Ia-3d (230)

Material: Be2RuPt
Method: DFT, PBE
State: optimized geometry

Unit cell a=7.3663 b=7.3663 c=7.3663 alpha=21.64 beta=21.64 gamma=21.64
With the nearest neighbours (Å) after each atom.
Fractional positions:
Ru: 0.7500 0.7500 0.7500  6 Be 2.37
Be: 0.0023 0.0023 0.0023  3 Ru 2.37, 3 Pt 2.44
Be: 0.4977 0.4977 0.4977  3 Ru 2.37, 3 Pt 2.44
Pt: 0.2500 0.2500 0.2500  6 Be 2.44

Properties
- magnetic moment (μB/f.u.) = 0.00
- density (g cm⁻³) = 11.0
- offset from the most stable computed form (meV/atom) = 279
- energy of formation from the pure elements (eV/atom) = -0.2509
- space group = R-3m (166)